# Na3Ho2USe6

Na3Ho2USe6 after structural relaxation (PBE, Alexandria via LeMat-Bulk).

POSCAR file:
```
Na3Ho2USe6
1.0
3.592 -6.222 0.000
3.592 6.222 0.000
-2.395 0.000 7.027
Na Ho U Se
3 2 1 6
Cartesian
0.000 0.000 0.000
3.592 2.072 0.000
3.592 -2.072 0.000
2.395 4.148 3.513
2.395 -4.148 3.513
2.395 0.000 3.513
1.181 2.102 1.890
-0.032 0.000 5.139
1.181 -2.102 1.890
3.608 2.102 5.136
4.822 0.000 1.888
3.608 -2.102 5.136
```

Energy in eV per formula unit: -63.402
N(E_F) in states/eV/cell: 8.85
Space-group type: C2/m
Formation energy from raw total energies in eV/atom: -1.51
Size of the total moment in μB per formula unit: 3.01